Entry 1:
Compound: HgPtF4
Source: the Alexandria database
Functional: GGA-PBE
Structure: optimized geometry

Lattice parameters (Å, degrees): 7.380 5.548 5.359 90.00 116.75 90.00
Space group C2/m (No. 12)
One atom of each set of equivalent atoms:
1 Hg 0.000 0.000 0.000
2 Pt 0.000 0.500 0.500
3 F 0.153 0.500 0.915
4 F 0.220 0.000 0.463

- Formation energy (no corrections): -1143 meV/atom

Entry 2:
Compound: HgPtF6
Source: the Alexandria database
Functional: GGA-PBE
Structure: optimized geometry

Lattice parameters (Å, degrees): 7.490 6.421 5.319 90.00 112.82 90.00
Space group C2/m (No. 12)
One atom of each set of equivalent atoms:
1 Hg 0.000 0.000 0.000
2 Pt 0.000 0.500 0.500
3 F 0.088 0.293 0.796
4 F 0.226 0.000 0.454

- Formation energy (no corrections): -1366 meV/atom

Entry 3:
Compound: HgPt2F
Source: the Alexandria database
Functional: GGA-PBE
Structure: optimized geometry

Lattice parameters (Å, degrees): 3.718 3.718 20.117 90.00 90.00 90.00
Space group I-42d (No. 122)
One atom of each set of equivalent atoms:
1 Hg 0.000 0.000 0.000
2 Pt 0.246 0.250 0.625
3 F 0.000 0.000 0.500

- Formation energy (no corrections): -79 meV/atom

| no. | VASP energy (eV for the cell shown) | density (g/cm³) |
| --- | --- | --- |
| 1 | -41.4 | 8.00 |
| 2 | -57.0 | 7.18 |
| 3 | -58.3 | 14.57 |